1.
Below is a relaxed structure of Sr3GeBr, with properties calculated at the PBE level.

Properties
Energy relative to the elements, uncorrected = -14.45 kcal/mol of atoms
ΔE to the lowest computed polymorph = 0.0 kJ/mol of atoms
Space group = Pm-3m, No. 221

The structure in extended XYZ format:
```
5
Lattice="6.114 0.000 0.000 0.000 6.114 0.000 0.000 0.000 6.114" Properties=species:S:1:pos:R:3 pbc="T T T"
Sr 0.000 0.000 3.057
Sr 0.000 3.057 0.000
Sr 3.057 0.000 0.000
Ge 0.000 0.000 0.000
Br 3.057 3.057 3.057
```



2.
Below is a relaxed structure of SrGe2Br6, with properties calculated at the PBE level.

Properties
Energy relative to the elements, uncorrected = -24.51 kcal/mol of atoms
ΔE to the lowest computed polymorph = 0.0 kJ/mol of atoms
Space group = P2_1/c, No. 14

The structure in extended XYZ format:
```
18
Lattice="7.616 0.000 0.000 0.000 7.045 0.000 -7.317 0.000 12.380" Properties=species:S:1:pos:R:3 pbc="T T T"
Sr 0.000 0.000 0.000
Sr -3.658 3.522 6.190
Ge -3.546 0.336 10.222
Ge 0.113 3.186 4.032
Ge 0.186 3.859 8.348
Ge 3.844 6.708 2.158
Br -5.717 1.739 10.383
Br -2.058 1.784 4.193
Br -2.386 1.754 8.356
Br 1.272 1.768 2.165
Br -1.024 5.100 6.407
Br 2.635 5.467 0.217
Br -2.336 1.578 12.164
Br 1.323 1.944 5.973
Br -0.973 5.277 10.215
Br 2.685 5.290 4.025
Br 2.357 5.261 8.187
Br 6.016 5.306 1.997
```



3.
Below is a relaxed structure of SrGeBr, with properties calculated at the PBE level.

Properties
Energy relative to the elements, uncorrected = -29.06 kcal/mol of atoms
Space group = R-3m, No. 166

The structure in extended XYZ format:
```
6
Lattice="2.152 1.242 12.265 -2.152 1.242 12.265 0.000 -2.485 12.265" Properties=species:S:1:pos:R:3 pbc="T T T"
Sr 0.000 0.000 2.544
Sr 0.000 0.000 34.251
Ge 0.000 0.000 12.760
Ge 0.000 0.000 24.035
Br 0.000 0.000 7.995
Br 0.000 0.000 28.800
```



4.
Below is a relaxed structure of SrGe2Br, with properties calculated at the PBE level.

Properties
Energy relative to the elements, uncorrected = -3.08 kcal/mol of atoms
ΔE to the lowest computed polymorph = 0.0 kJ/mol of atoms
Space group = I-42d, No. 122

The structure in extended XYZ format:
```
8
Lattice="-5.003 5.003 2.737 5.003 -5.003 2.737 5.003 5.003 -2.737" Properties=species:S:1:pos:R:3 pbc="T T T"
Sr 0.000 0.000 0.000
Sr 0.000 5.003 1.369
Ge 2.502 2.552 -0.684
Ge 7.455 2.502 0.684
Ge 2.502 2.451 2.053
Ge -2.451 2.502 3.421
Br 5.003 0.000 1.369
Br 0.000 0.000 2.737
```



| no. | E_tot (Ry/atom) |
| --- | --- |
| 1 | -0.213 |
| 2 | -0.249 |
| 3 | -0.288 |
| 4 | -0.241 |